# KPPdCl2 | the Alexandria database | PBE | relaxed
data_KPPdCl2
_space_group_name_H-M_alt 'P 4/m m m'
_space_group_IT_number 123
_space_group_name_Hall '-P 4 2'
_cell_length_a 5.775
_cell_length_b 5.775
_cell_length_c 6.105
_cell_angle_alpha 90.00
_cell_angle_beta 90.00
_cell_angle_gamma 90.00
loop_
_atom_site_label
_atom_site_fract_x
_atom_site_fract_y
_atom_site_fract_z
K1 0.000 0.000 0.000
P1 0.000 0.000 0.500
Pd1 0.500 0.500 0.500
Cl1 0.000 0.500 0.000
# D(E_F) = 15.0 states/eV/f.u.
# energy relative to the elements, uncorrected = 0.704 eV per atom
# M_tot = 4.00 μB/f.u.
# E_tot = -11.87 eV for the cell shown
# relative energy among the computed polymorphs = 1.224 eV/atom

# KPPtCl2 | the Alexandria database | PBE | relaxed
data_KPPtCl2
_space_group_name_H-M_alt 'P 4/m m m'
_space_group_IT_number 123
_space_group_name_Hall '-P 4 2'
_cell_length_a 5.421
_cell_length_b 5.421
_cell_length_c 4.433
_cell_angle_alpha 90.00
_cell_angle_beta 90.00
_cell_angle_gamma 90.00
loop_
_atom_site_label
_atom_site_fract_x
_atom_site_fract_y
_atom_site_fract_z
K1 0.000 0.000 0.000
P1 0.500 0.500 0.000
Pt1 0.500 0.500 0.500
Cl1 0.000 0.500 0.500
# D(E_F) = 3.4 states/eV/f.u.
# energy relative to the elements, uncorrected = -0.524 eV per atom
# M_tot = 0.02 μB/f.u.
# E_tot = -18.86 eV for the cell shown
# relative energy among the computed polymorphs = 0.000 eV/atom

# KP2PtCl | the Alexandria database | PBE | relaxed
data_KP2PtCl
_space_group_name_H-M_alt 'P 4/m m m'
_space_group_IT_number 123
_space_group_name_Hall '-P 4 2'
_cell_length_a 6.208
_cell_length_b 6.208
_cell_length_c 5.492
_cell_angle_alpha 90.00
_cell_angle_beta 90.00
_cell_angle_gamma 90.00
loop_
_atom_site_label
_atom_site_fract_x
_atom_site_fract_y
_atom_site_fract_z
K1 0.000 0.000 0.000
P1 0.000 0.500 0.000
Pt1 0.500 0.500 0.500
Cl1 0.000 0.000 0.500
# D(E_F) = 5.8 states/eV/f.u.
# energy relative to the elements, uncorrected = 1.798 eV per atom
# M_tot = 6.09 μB/f.u.
# E_tot = -10.81 eV for the cell shown
# relative energy among the computed polymorphs = 2.044 eV/atom

# KPPtCl2 | the Alexandria database | PBE | relaxed
data_KPPtCl2
_space_group_name_H-M_alt 'P 4/m m m'
_space_group_IT_number 123
_space_group_name_Hall '-P 4 2'
_cell_length_a 5.579
_cell_length_b 5.579
_cell_length_c 6.171
_cell_angle_alpha 90.00
_cell_angle_beta 90.00
_cell_angle_gamma 90.00
loop_
_atom_site_label
_atom_site_fract_x
_atom_site_fract_y
_atom_site_fract_z
K1 0.000 0.000 0.000
P1 0.000 0.000 0.500
Pt1 0.500 0.500 0.500
Cl1 0.000 0.500 0.000
# D(E_F) = 5.3 states/eV/f.u.
# energy relative to the elements, uncorrected = 1.082 eV per atom
# M_tot = 2.57 μB/f.u.
# E_tot = -10.83 eV for the cell shown
# relative energy among the computed polymorphs = 1.606 eV/atom